# 1
## AsOs2I (PBE-GGA)

Data for AsOs2I after structural relaxation.

Values from the calculation:
Its total magnetization is 0.00 μB/f.u. The value obtained for the relative energy among the computed polymorphs is 0.164 eV/atom. Its calculated total energy is -5.94 eV per atom. Its density of states at the Fermi level is 3.2 states/eV/f.u. The space group is No. 225. Its formation energy from raw total energies is 1220 meV/atom.

```
data_AsOs2I
_chemical_formula_sum 'As1 Os2 I1'
_space_group_name_H-M_alt 'P 1'
_space_group_IT_number 1
_space_group_name_Hall 'P 1'
_cell_length_a 4.5910
_cell_length_b 4.5910
_cell_length_c 4.5910
_cell_angle_alpha 60.00
_cell_angle_beta 60.00
_cell_angle_gamma 60.00
loop_
_atom_site_label
_atom_site_type_symbol
_atom_site_fract_x
_atom_site_fract_y
_atom_site_fract_z
I1 I 0.5000 0.5000 0.5000
As1 As 0.0000 0.0000 0.0000
Os1 Os 0.2500 0.2500 0.2500
Os2 Os 0.7500 0.7500 0.7500
```

***

# 2
## AsOs2I (PBE-GGA)

Data for AsOs2I after structural relaxation.

Values from the calculation:
Its total magnetization is 0.00 μB/f.u. The value obtained for the relative energy among the computed polymorphs is 0.000 eV/atom. Its calculated total energy is -6.11 eV per atom. Its density of states at the Fermi level is 3.5 states/eV/f.u. The space group is No. 122. Its formation energy from raw total energies is 1056 meV/atom.

```
data_AsOs2I
_chemical_formula_sum 'As2 Os4 I2'
_space_group_name_H-M_alt 'P 1'
_space_group_IT_number 1
_space_group_name_Hall 'P 1'
_cell_length_a 5.6397
_cell_length_b 5.6397
_cell_length_c 7.0598
_cell_angle_alpha 66.46
_cell_angle_beta 66.46
_cell_angle_gamma 90.00
loop_
_atom_site_label
_atom_site_type_symbol
_atom_site_fract_x
_atom_site_fract_y
_atom_site_fract_z
As1 As 0.5000 0.5000 0.0000
As2 As 0.2500 0.7500 0.5000
Os1 Os 0.5950 0.1250 0.2500
Os2 Os 0.8750 0.8450 0.7500
Os3 Os 0.1550 0.6250 0.2500
Os4 Os 0.3750 0.4050 0.7500
I1 I 0.0000 0.0000 0.0000
I2 I 0.7500 0.2500 0.5000
```

***

# 3
## As3OsI (PBE-GGA)

Data for As3OsI after structural relaxation.

Values from the calculation:
Its total magnetization is 0.00 μB/f.u. Its calculated total energy is -4.75 eV per atom. Its density of states at the Fermi level is 6.1 states/eV/f.u. The space group is No. 221. Its formation energy from raw total energies is 599 meV/atom.

```
data_As3OsI
_chemical_formula_sum 'As3 Os1 I1'
_space_group_name_H-M_alt 'P 1'
_space_group_IT_number 1
_space_group_name_Hall 'P 1'
_cell_length_a 4.8880
_cell_length_b 4.8880
_cell_length_c 4.8880
_cell_angle_alpha 90.00
_cell_angle_beta 90.00
_cell_angle_gamma 90.00
loop_
_atom_site_label
_atom_site_type_symbol
_atom_site_fract_x
_atom_site_fract_y
_atom_site_fract_z
I1 I 0.5000 0.5000 0.5000
Os1 Os 0.0000 0.0000 0.0000
As1 As 0.0000 0.5000 0.0000
As2 As 0.5000 0.0000 0.0000
As3 As 0.0000 0.0000 0.5000
```

***

# 4
## AsOs3I (PBE-GGA)

Data for AsOs3I after structural relaxation.

Values from the calculation:
Its total magnetization is 0.00 μB/f.u. The value obtained for the relative energy among the computed polymorphs is 0.000 eV/atom. Its calculated total energy is -6.03 eV per atom. Its density of states at the Fermi level is 4.6 states/eV/f.u. The space group is No. 221. Its formation energy from raw total energies is 1951 meV/atom.

```
data_AsOs3I
_chemical_formula_sum 'As1 Os3 I1'
_space_group_name_H-M_alt 'P 1'
_space_group_IT_number 1
_space_group_name_Hall 'P 1'
_cell_length_a 4.6220
_cell_length_b 4.6220
_cell_length_c 4.6220
_cell_angle_alpha 90.00
_cell_angle_beta 90.00
_cell_angle_gamma 90.00
loop_
_atom_site_label
_atom_site_type_symbol
_atom_site_fract_x
_atom_site_fract_y
_atom_site_fract_z
As1 As 0.0000 0.0000 0.0000
Os1 Os 0.0000 0.5000 0.0000
Os2 Os 0.0000 0.0000 0.5000
Os3 Os 0.5000 0.0000 0.0000
I1 I 0.5000 0.5000 0.5000
```